Entry 1:
Sc3IrO7: optimized geometry, PBE.

Results
formation energy (no corrections)	-246.3	kJ/mol of atoms
SG	C222_1 (20)

Unit cell a=6.1960 b=6.1960 c=7.0145 alpha=90.00 beta=90.00 gamma=108.54
Each line ends with the local moment (μB).
Sites, in units of the cell vectors:
1 O 0.3356 0.0866 0.4724  0.07
2 O 0.6765 0.9413 0.5371  0.16
3 O 0.9413 0.6765 0.4629  0.16
4 O 0.3608 0.6392 0.7500  0.04
5 O 0.6392 0.3608 0.2500  0.04
6 O 0.6309 0.3691 0.7500  0.02
7 O 0.0866 0.3356 0.5276  0.07
8 O 0.0873 0.9127 0.7500  0.08
9 O 0.3691 0.6309 0.2500  0.02
10 O 0.6644 0.9134 0.9724  0.07
11 O 0.0587 0.3235 0.9629  0.16
12 O 0.9134 0.6644 0.0276  0.07
13 O 0.9127 0.0873 0.2500  0.08
14 O 0.3235 0.0587 0.0371  0.16
15 Sc 0.0029 0.5327 0.7443  0.02
16 Sc 0.5327 0.0029 0.2557  0.02
17 Sc 0.9971 0.4673 0.2443  0.02
18 Sc 0.4673 0.9971 0.7557  0.02
19 Sc 0.5398 0.5398 0.0000  0.02
20 Sc 0.4602 0.4602 0.5000  0.02
21 Ir 0.9988 0.9988 0.5000  1.09
22 Ir 0.0012 0.0012 0.0000  1.09

Entry 2:
Pm3SiGe5: optimized geometry, PBE.

Results
formation energy (no corrections)	-35.9	kJ/mol of atoms
SG	P6_3/mcm (193)

Unit cell a=6.0242 b=8.7592 c=8.7592 alpha=120.00 beta=90.00 gamma=90.00
Sites, in units of the cell vectors:
1 Ge 0.7500 0.7399 0.0000
2 Ge 0.0000 0.3333 0.6667
3 Ge 0.2500 0.0000 0.2601
4 Ge 0.7500 0.0000 0.7399
5 Ge 0.2500 0.2601 0.0000
6 Ge 0.5000 0.3333 0.6667
7 Ge 0.2500 0.7399 0.7399
8 Ge 0.7500 0.2601 0.2601
9 Ge 0.5000 0.6667 0.3333
10 Ge 0.0000 0.6667 0.3333
11 Pm 0.2500 0.0000 0.6165
12 Pm 0.2500 0.3835 0.3835
13 Pm 0.2500 0.6165 0.0000
14 Pm 0.7500 0.3835 0.0000
15 Pm 0.7500 0.0000 0.3835
16 Pm 0.7500 0.6165 0.6165
17 Si 0.5000 0.0000 0.0000
18 Si 0.0000 0.0000 0.0000

Entry 3:
Li3LaHg2: optimized geometry, PBE.

Results
SG	C2/m (12)
ΔH_f (0 K)	-0.32	eV/atom

Unit cell a=4.4488 b=7.6752 c=9.7722 alpha=122.06 beta=90.00 gamma=106.85
Sites, in units of the cell vectors:
1 Hg 0.5783 0.1566 0.2237
2 Hg 0.1913 0.3826 0.7328
3 Hg 0.4217 0.8434 0.7763
4 Hg 0.8087 0.6174 0.2672
5 Li 0.9408 0.8815 0.6006
6 Li 0.2698 0.5395 0.4287
7 Li 0.7302 0.4605 0.5713
8 Li 0.4301 0.8603 0.3233
9 Li 0.5699 0.1397 0.6767
10 Li 0.0592 0.1185 0.3994
11 La 0.8690 0.7380 0.9880
12 La 0.1310 0.2620 0.0120

Entry 4:
TlCd7Hg2: optimized geometry, PBE.

Results
energy above the most stable polymorph in this dataset	93	meV/atom
SG	Cmmm (65)
ΔH_f (0 K)	0.14	eV/atom

Unit cell a=4.4117 b=9.1178 c=9.1179 alpha=126.41 beta=90.00 gamma=90.00
Sites, in units of the cell vectors:
1 Cd 0.5000 0.5000 0.5000
2 Cd 0.0000 0.8024 0.1976
3 Cd 0.0000 0.1976 0.8024
4 Cd 0.5000 0.7039 0.9102
5 Cd 0.5000 0.9102 0.7039
6 Cd 0.5000 0.0898 0.2961
7 Cd 0.5000 0.2961 0.0898
8 Hg 0.5000 0.6889 0.3111
9 Hg 0.5000 0.3111 0.6889
10 Tl 0.0000 0.0000 0.0000